This record from the Alexandria database describes a geometry-optimized ScMo2Se structure. The functional is PBE.

Properties
- Polymorph energy (0 for the lowest one): 175 meV per atom
- Formation energy (no corrections): 95 meV per atom
- Space group: I-4m2
- Crystal system: tetragonal
- Magnetization: 0.000 μB per cell
- E: -7.77 eV per atom

a = 4.8049 Å, b = 4.8049 Å, c = 4.8049 Å
α = 127.72°, β = 127.72°, γ = 77.07°
Last column: nearest neighbours and their distance in Å.
Element x y z (fractional)
Sc 0.0000 0.0000 0.0000  8 Mo 2.83-2.99, 4 Se 2.83
Mo 0.5000 0.5000 0.0000  4 Mo 2.83, 4 Se 2.83, 4 Sc 2.99
Mo 0.7500 0.2500 0.5000  4 Mo 2.83, 4 Sc 2.83, 4 Se 2.99
Se 0.2500 0.7500 0.5000  8 Mo 2.83-2.99, 4 Sc 2.83


This record from the Alexandria database describes a geometry-optimized La6Mg2OsN structure. The functional is PBE.

Properties
- Formation energy (no corrections): -297 meV per atom
- Space group: P-1
- Crystal system: triclinic
- Magnetization: 0.000 μB per cell
- E: -5.53 eV per atom

a = 7.5602 Å, b = 7.5843 Å, c = 7.6114 Å
α = 60.16°, β = 60.41°, γ = 89.62°
Last column: nearest neighbours and their distance in Å.
Element x y z (fractional)
La 0.1882 0.2121 0.0332  1 N 2.57, 1 Os 2.82
La 0.2513 0.7159 0.5200  1 N 2.62, 1 Os 2.84
La 0.2773 0.7109 0.9890  1 N 2.59, 1 Os 2.83
La 0.7227 0.2891 0.0110  1 N 2.59, 1 Os 2.83
La 0.7487 0.2841 0.4800  1 N 2.62, 1 Os 2.84
La 0.8118 0.7879 0.9668  1 N 2.57, 1 Os 2.82
Mg 0.2480 0.2500 0.4996  7 La 3.46-3.85
Mg 0.7520 0.7500 0.5004  7 La 3.46-3.85
Os 0.5000 0.0000 0.0000  6 La 2.82-2.84
N 0.0000 0.5000 0.0000  6 La 2.57-2.62


This record from the Alexandria database describes a geometry-optimized Er4Ir structure. The functional is PBE.

Properties
- Polymorph energy (0 for the lowest one): 0 meV per atom
- Formation energy from the elements: -2.1 eV per formula unit
- Space group: I-42d
- Crystal system: tetragonal
- Magnetization: 0.598 μB per cell
- E: -5.84 eV per atom

a = 7.2092 Å, b = 7.2092 Å, c = 7.2092 Å
α = 107.00°, β = 107.00°, γ = 114.54°
Last column: nearest neighbours and their distance in Å.
Element x y z (fractional)
Er 0.0554 0.3869 0.2743  1 Ir 2.69
Er 0.1127 0.7811 0.7257  1 Ir 2.69
Er 0.1369 0.3054 0.7743  1 Ir 2.69
Er 0.2189 0.9446 0.3315  1 Ir 2.69
Er 0.5311 0.3627 0.2257  1 Ir 2.69
Er 0.6131 0.8873 0.6685  1 Ir 2.69
Er 0.6373 0.8631 0.1685  1 Ir 2.69
Er 0.6946 0.4689 0.8315  1 Ir 2.69
Ir 0.0000 0.0000 0.0000  4 Er 2.69
Ir 0.7500 0.2500 0.5000  4 Er 2.69


This record from the Alexandria database describes a geometry-optimized YReBi2 structure. The functional is PBE.

Properties
- Polymorph energy (0 for the lowest one): 325 meV per atom
- Formation energy from the elements: 2.4 eV per formula unit
- Space group: I-42d
- Crystal system: tetragonal
- Magnetization: 0.645 μB per cell
- E: -6.07 eV per atom

a = 10.9413 Å, b = 10.9413 Å, c = 10.9413 Å
α = 156.23°, β = 156.23°, γ = 33.86°
Last column: nearest neighbours and their distance in Å.
Element x y z (fractional)
Y 0.0000 0.0000 0.0000  4 Bi 3.10, 4 Re 3.19
Y 0.7500 0.2500 0.5000  4 Bi 3.10, 4 Re 3.19
Re 0.2500 0.7500 0.5000  4 Bi 3.03, 4 Y 3.19
Re 0.5000 0.5000 0.0000  4 Bi 3.03, 4 Y 3.19
Bi 0.1447 0.6250 0.0197  2 Re 3.03, 4 Bi 3.06-3.31, 2 Y 3.10
Bi 0.3750 0.3947 0.5197  2 Re 3.03, 4 Bi 3.06-3.31, 2 Y 3.10
Bi 0.6053 0.1250 0.9803  2 Re 3.03, 4 Bi 3.06-3.31, 2 Y 3.10
Bi 0.8750 0.8553 0.4803  2 Re 3.03, 4 Bi 3.06-3.31, 2 Y 3.10


This record from the Alexandria database describes a geometry-optimized RbNpBe2Cl8 structure. The functional is PBE.

Properties
- Formation energy (no corrections): -1602 meV per atom
- Space group: R-3
- Crystal system: trigonal
- Magnetization: 4.000 μB per cell
- E: -4.61 eV per atom

a = 10.7216 Å, b = 10.7216 Å, c = 10.7216 Å
α = 33.88°, β = 33.88°, γ = 33.88°
Last column: nearest neighbours and their distance in Å.
Element x y z (fractional)
Rb 0.0000 0.0000 0.0000  12 Cl 3.67-3.98
Np 0.5000 0.5000 0.5000  6 Cl 2.76
Be 0.2469 0.2469 0.2469  4 Cl 1.95-2.07
Be 0.7531 0.7531 0.7531  4 Cl 1.95-2.07
Cl 0.0850 0.4653 0.7821  1 Be 2.07
Cl 0.2179 0.9150 0.5347  1 Be 2.07
Cl 0.3112 0.3112 0.3112  1 Be 1.95
Cl 0.4653 0.7821 0.0850  1 Be 2.07
Cl 0.5347 0.2179 0.9150  1 Be 2.07
Cl 0.6888 0.6888 0.6888  1 Be 1.95
Cl 0.7821 0.0850 0.4653  1 Be 2.07
Cl 0.9150 0.5347 0.2179  1 Be 2.07


This record from the Alexandria database describes a geometry-optimized SrAc6Dy structure. The functional is PBE.

Properties
- Formation energy from the elements: 0.4 eV per formula unit
- Space group: P4/mmm
- Crystal system: tetragonal
- Magnetization: 0.000 μB per cell
- E: -3.82 eV per atom

a = 5.5919 Å, b = 5.5919 Å, c = 11.2200 Å
α = 90.00°, β = 90.00°, γ = 90.00°
Last column: nearest neighbours and their distance in Å.
Element x y z (fractional)
Sr 0.0000 0.0000 0.0000  12 Ac 3.95-4.05
Ac 0.0000 0.5000 0.2613  8 Ac 3.87-4.05, 2 Dy 3.87, 2 Sr 4.05
Ac 0.0000 0.5000 0.7387  8 Ac 3.87-4.05, 2 Dy 3.87, 2 Sr 4.05
Ac 0.5000 0.0000 0.2613  8 Ac 3.87-4.05, 2 Dy 3.87, 2 Sr 4.05
Ac 0.5000 0.0000 0.7387  8 Ac 3.87-4.05, 2 Dy 3.87, 2 Sr 4.05
Ac 0.5000 0.5000 0.0000  4 Sr 3.95, 8 Ac 4.05
Ac 0.5000 0.5000 0.5000  8 Ac 3.87, 4 Dy 3.95
Dy 0.0000 0.0000 0.5000  12 Ac 3.87-3.95


This record from the Alexandria database describes a geometry-optimized Co2TcHW structure. The functional is PBE.

Properties
- Polymorph energy (0 for the lowest one): 0 meV per atom
- Space group: P4/mmm
- Crystal system: tetragonal
- Magnetization: 0.262 μB per cell
- E: -8.18 eV per atom

a = 3.6961 Å, b = 3.6961 Å, c = 3.8815 Å
α = 90.00°, β = 90.00°, γ = 90.00°
Last column: nearest neighbours and their distance in Å.
Element x y z (fractional)
Co 0.0000 0.5000 0.0000  2 H 1.85
Co 0.5000 0.0000 0.0000  2 H 1.85
Tc 0.0000 0.0000 0.5000  2 H 1.94
H 0.0000 0.0000 0.0000  4 Co 1.85, 2 Tc 1.94
W 0.5000 0.5000 0.5000  4 Tc 2.61, 8 Co 2.68


This record from the Alexandria database describes a geometry-optimized NaCaPrSeO6 structure. The functional is PBE.

Properties
- Formation energy (no corrections): -1916 meV per atom
- Space group: F-43m
- Crystal system: cubic
- Magnetization: 0.000 μB per cell
- E: -6.05 eV per atom

a = 5.6482 Å, b = 5.6482 Å, c = 5.6482 Å
α = 60.00°, β = 60.00°, γ = 60.00°
Last column: nearest neighbours and their distance in Å.
Element x y z (fractional)
Na 0.0000 0.0000 0.0000  12 O 2.83
Ca 0.2500 0.2500 0.2500  6 O 2.19
Pr 0.5000 0.5000 0.5000  12 O 2.83
Se 0.7500 0.7500 0.7500  6 O 1.80
O 0.5242 0.5242 0.9758  1 Se 1.80
O 0.5242 0.9758 0.5242  1 Se 1.80
O 0.5242 0.9758 0.9758  1 Se 1.80
O 0.9758 0.5242 0.5242  1 Se 1.80
O 0.9758 0.5242 0.9758  1 Se 1.80
O 0.9758 0.9758 0.5242  1 Se 1.80


This record from the Alexandria database describes a geometry-optimized PmPuV4 structure. The functional is PBE.

Properties
- Formation energy from the elements: 2.3 eV per formula unit
- Space group: F-43m
- Crystal system: cubic
- Magnetization: 4.134 μB per cell
- E: -8.88 eV per atom

a = 5.3373 Å, b = 5.3373 Å, c = 5.3373 Å
α = 60.00°, β = 60.00°, γ = 60.00°
Last column: nearest neighbours and their distance in Å.
Element x y z (fractional)
Pm 0.0000 0.0000 0.0000  12 V 3.14, 4 Pu 3.27
Pu 0.7500 0.7500 0.7500  12 V 3.12, 4 Pm 3.27
V 0.3777 0.3777 0.3777  6 V 2.61-2.73
V 0.3777 0.3777 0.8669  6 V 2.61-2.73
V 0.3777 0.8669 0.3777  6 V 2.61-2.73
V 0.8669 0.3777 0.3777  6 V 2.61-2.73


This record from the Alexandria database describes a geometry-optimized LiPm2Sn3Pt4 structure. The functional is PBE.

Properties
- Formation energy from the elements: -8.1 eV per formula unit
- Space group: P-4m2
- Crystal system: tetragonal
- Magnetization: 0.000 μB per cell
- E: -5.57 eV per atom

a = 4.4261 Å, b = 4.4261 Å, c = 11.0596 Å
α = 90.00°, β = 90.00°, γ = 90.00°
Last column: nearest neighbours and their distance in Å.
Element x y z (fractional)
Li 0.0000 0.0000 0.0000  4 Pt 2.65
Pm 0.0000 0.5000 0.7526  8 Pt 3.38-3.56, 6 Sn 3.39-3.52, 2 Li 3.52
Pm 0.5000 0.0000 0.2474  8 Pt 3.38-3.56, 6 Sn 3.39-3.52, 2 Li 3.52
Sn 0.0000 0.5000 0.3656  5 Pt 2.58-2.67
Sn 0.5000 0.0000 0.6344  5 Pt 2.58-2.67
Sn 0.5000 0.5000 0.0000  4 Pt 2.65
Pt 0.0000 0.0000 0.5000  4 Sn 2.67
Pt 0.0000 0.5000 0.1326  3 Sn 2.58-2.65, 2 Li 2.65
Pt 0.5000 0.0000 0.8674  3 Sn 2.58-2.65, 2 Li 2.65
Pt 0.5000 0.5000 0.5000  4 Sn 2.67


This record from the Alexandria database describes a geometry-optimized NiHgW2 structure. The functional is PBE.

Properties
- Formation energy from the elements: 2.4 eV per formula unit
- Space group: I-4m2
- Crystal system: tetragonal
- Magnetization: 0.000 μB per cell
- E: -7.41 eV per atom

a = 4.8331 Å, b = 4.8331 Å, c = 4.8331 Å
α = 130.71°, β = 130.71°, γ = 72.27°
Last column: nearest neighbours and their distance in Å.
Element x y z (fractional)
Ni 0.0000 0.0000 0.0000  4 Hg 2.81, 8 W 2.81-2.85
Hg 0.7500 0.2500 0.5000  8 W 2.81-2.85, 4 Ni 2.81
W 0.2500 0.7500 0.5000  4 W 2.81, 4 Ni 2.81, 4 Hg 2.85
W 0.5000 0.5000 0.0000  4 Hg 2.81, 4 W 2.81, 4 Ni 2.85